No. 1
A relaxed K2YPCO7 crystal. Source: Alexandria, functional PBE.

Computed properties:
- Crystal system: monoclinic
- Formation energy from raw total energies: -2380.4 meV/atom
- M_tot: 0.003 μB per atom
- N(E_F): 0.00 states/eV/cell
- Final energy: -7.21 eV/atom

Geometry as CIF:
```
data_K2YPCO7
_cell_length_a 7.1463
_cell_length_b 5.7825
_cell_length_c 10.0924
_cell_angle_alpha 89.77
_cell_angle_beta 90.00
_cell_angle_gamma 90.00
_symmetry_space_group_name_H-M 'P 1'
_symmetry_Int_Tables_number 1
loop_
_symmetry_equiv_pos_as_xyz
'x,y,z'
loop_
_atom_site_label
_atom_site_fract_x
_atom_site_fract_y
_atom_site_fract_z
K1 0.4851 0.2549 0.7855
K2 0.0149 0.2549 0.7855
K3 0.5149 0.7451 0.2145
K4 0.9851 0.7451 0.2145
Y1 0.7500 0.7927 0.6226
Y2 0.2500 0.2073 0.3774
P1 0.2500 0.7153 0.5660
P2 0.7500 0.2847 0.4340
C1 0.7500 0.7408 0.8952
C2 0.2500 0.2592 0.1048
O1 0.2500 0.2918 0.9814
O2 0.7500 0.9467 0.8393
O3 0.7500 0.5665 0.8096
O4 0.0707 0.7949 0.6396
O5 0.4293 0.7949 0.6396
O6 0.7500 0.1755 0.5764
O7 0.2500 0.4452 0.5542
O8 0.7500 0.5548 0.4458
O9 0.2500 0.8245 0.4236
O10 0.5707 0.2051 0.3604
O11 0.9293 0.2051 0.3604
O12 0.2500 0.4335 0.1904
O13 0.2500 0.0533 0.1607
O14 0.7500 0.7082 0.0186
```

No. 2
A relaxed K3ZnPCO7 crystal. Source: Alexandria, functional PBE.

Computed properties:
- Crystal system: monoclinic
- Formation energy from raw total energies: -1929.3 meV/atom
- M_tot: 0.000 μB per atom
- N(E_F): 0.00 states/eV/cell
- Final energy: -6.08 eV/atom

Geometry as CIF:
```
data_K3ZnPCO7
_cell_length_a 7.0546
_cell_length_b 5.6321
_cell_length_c 9.5698
_cell_angle_alpha 90.01
_cell_angle_beta 90.00
_cell_angle_gamma 90.00
_symmetry_space_group_name_H-M 'P 1'
_symmetry_Int_Tables_number 1
loop_
_symmetry_equiv_pos_as_xyz
'x,y,z'
loop_
_atom_site_label
_atom_site_fract_x
_atom_site_fract_y
_atom_site_fract_z
K1 0.2500 0.7591 0.9281
K2 0.0102 0.2569 0.7132
K3 0.4898 0.2569 0.7132
K4 0.5102 0.7431 0.2868
K5 0.9898 0.7431 0.2868
K6 0.7500 0.2409 0.0719
Zn1 0.7500 0.7619 0.6414
Zn2 0.2500 0.2381 0.3586
P1 0.2500 0.7342 0.5796
P2 0.7500 0.2658 0.4204
C1 0.7500 0.7412 0.9151
C2 0.2500 0.2588 0.0849
O1 0.2500 0.2608 0.9499
O2 0.7500 0.9407 0.8451
O3 0.7500 0.5445 0.8424
O4 0.0707 0.7609 0.6734
O5 0.4293 0.7609 0.6734
O6 0.2500 0.4803 0.5123
O7 0.7500 0.0770 0.5388
O8 0.2500 0.9230 0.4612
O9 0.7500 0.5197 0.4877
O10 0.5707 0.2391 0.3266
O11 0.9293 0.2391 0.3266
O12 0.2500 0.4555 0.1576
O13 0.2500 0.0593 0.1549
O14 0.7500 0.7392 0.0501
```